Density functional theory data (PBEsol) for crystalline K5Li at its relaxed geometry.

DFT formation energy: 32 kJ/mol of formula units
Calculated density: 0.91 g cm⁻³
Energy relative to the lowest polymorph listed for this composition: 0 meV per atom

```
data_K5Li
_chemical_formula_sum 'K5 Li1'
_symmetry_space_group_name_H-M 'P 4/m m m'
_symmetry_Int_Tables_number 123
_symmetry_space_group_name_Hall '-P 4 2'
_cell_length_a 4.580
_cell_length_b 4.580
_cell_length_c 17.676
_cell_angle_alpha 90.00
_cell_angle_beta 90.00
_cell_angle_gamma 90.00
loop_
_atom_site_label
_atom_site_fract_x
_atom_site_fract_y
_atom_site_fract_z
K1 0.000 0.000 0.000
K2 0.000 0.000 0.376
K3 0.500 0.500 0.189
Li1 0.500 0.500 0.500
```

***

Density functional theory data (PBEsol) for crystalline K5Li at its relaxed geometry.

DFT formation energy: 35 kJ/mol of formula units
Calculated density: 0.91 g cm⁻³
Energy relative to the lowest polymorph listed for this composition: 5 meV per atom

```
data_K5Li
_chemical_formula_sum 'K10 Li2'
_symmetry_space_group_name_H-M 'C 1 m 1'
_symmetry_Int_Tables_number 8
_symmetry_space_group_name_Hall 'C -2y'
_cell_length_a 15.489
_cell_length_b 4.738
_cell_length_c 10.790
_cell_angle_alpha 90.00
_cell_angle_beta 110.76
_cell_angle_gamma 90.00
loop_
_atom_site_label
_atom_site_fract_x
_atom_site_fract_y
_atom_site_fract_z
K1 0.000 0.000 0.000
K2 0.026 0.000 0.435
K3 0.167 0.500 0.795
K4 0.307 0.000 0.157
K5 0.336 0.000 0.595
Li1 0.169 0.500 0.299
```

***

Density functional theory data (PBEsol) for crystalline K7Li at its relaxed geometry.

DFT formation energy: 49 kJ/mol of formula units
Calculated density: 0.91 g cm⁻³

```
data_K7Li
_chemical_formula_sum 'K28 Li4'
_symmetry_space_group_name_H-M 'F m -3 m'
_symmetry_Int_Tables_number 225
_symmetry_space_group_name_Hall '-F 4 2 3'
_cell_length_a 12.701
_cell_length_b 12.701
_cell_length_c 12.701
_cell_angle_alpha 90.00
_cell_angle_beta 90.00
_cell_angle_gamma 90.00
loop_
_atom_site_label
_atom_site_fract_x
_atom_site_fract_y
_atom_site_fract_z
K1 0.000 0.000 0.000
K2 0.000 0.250 0.250
Li1 0.000 0.000 0.500
```

***

DFT formation energy of number 1 (K5Li)? 32 kJ/mol of formula units